## K2VGeCl6 (GGA-PBE)

Data for an optimized crystal structure of K2VGeCl6.

Calculated values
E = -4.04 eV per atom
formation energy from raw total energies = -1336 meV per atom
magnetization = 3.0 μB/f.u.

POSCAR file:
```
K2VGeCl6
1.0
0.0000 5.1165 5.1165
5.1165 0.0000 5.1165
5.1165 5.1165 0.0000
K V Ge Cl
2 1 1 6
Direct
0.2500 0.2500 0.2500
0.7500 0.7500 0.7500
0.0000 0.0000 0.0000
0.5000 0.5000 0.5000
0.2424 0.2424 0.7576
0.2424 0.7576 0.2424
0.2424 0.7576 0.7576
0.7576 0.2424 0.2424
0.7576 0.2424 0.7576
0.7576 0.7576 0.2424
```